A plane-wave DFT calculation with PBE was carried out for a relaxed DyVTc2 crystal.

Values from the calculation:
Energy of formation from the pure elements: -32 meV per atom
Volume: 67.98 Å³ per cell
Crystal system: tetragonal
Fermi-level density of states: 0.77 states/eV per atom
Total DFT energy (no corrections): -8.64 eV per atom

extended XYZ file:
```
4
Lattice="3.1458 0.0000 0.0000 0.0000 3.1458 0.0000 0.0000 0.0000 6.8695" Properties=species:S:1:pos:R:3 pbc="T T T"
Dy 1.5729 1.5729 3.4348
V 1.5729 1.5729 0.0000
Tc 0.0000 0.0000 1.3935
Tc 0.0000 0.0000 5.4760
```